Below is a geometry-optimized La2Cu3Si2 structure, with properties calculated at the PBE level.

* DOS(E_F): 0.56 states/eV per atom
* electronic total energy: -5.11 eV per atom

Cell: 5.7181 5.7181 6.5029 Å, 110.00 110.00 43.29°
Last column: nearest neighbours and their distance in Å.
Fractional coordinates of all 7 atoms:
La 0.1477 0.1477 0.2629  7 Cu 3.01-3.33, 5 Si 3.08-3.28
La 0.8523 0.8523 0.7371  7 Cu 3.01-3.33, 5 Si 3.08-3.28
Cu 0.3977 0.3977 0.0877  3 Si 2.45-2.74, 1 Cu 2.50
Cu 0.5000 0.5000 0.5000  2 Cu 2.50, 4 Si 2.79
Cu 0.6023 0.6023 0.9123  3 Si 2.45-2.74, 1 Cu 2.50
Si 0.1461 0.1461 0.7580  3 Cu 2.45-2.74
Si 0.8539 0.8539 0.2420  3 Cu 2.45-2.74



Below is a geometry-optimized La2ZnRh structure, with properties calculated at the PBE level.

* energy of formation: -0.48 eV/atom
* DOS(E_F): 0.77 states/eV per atom
* electronic total energy: -5.10 eV per atom

Cell: 5.1164 5.1164 3.7550 Å, 90.00 90.00 90.00°
Last column: nearest neighbours and their distance in Å.
Fractional coordinates of all 4 atoms:
La 0.0000 0.5000 0.0000  4 Rh 3.17, 4 Zn 3.17
La 0.5000 0.0000 0.0000  4 Rh 3.17, 4 Zn 3.17
Zn 0.0000 0.0000 0.5000  8 La 3.17
Rh 0.5000 0.5000 0.5000  8 La 3.17



Below is a geometry-optimized Ac5Pr6Y2 structure, with properties calculated at the PBE level.

* energy of formation: 0.09 eV/atom
* DOS(E_F): 1.25 states/eV per atom
* electronic total energy: -4.69 eV per atom

Cell: 12.1220 22.1238 3.8302 Å, 90.00 90.00 90.00°
Last column: nearest neighbours and their distance in Å.
Fractional coordinates of all 26 atoms:
Ac 0.0000 0.0000 0.0000  6 Pr 3.68-3.77, 4 Ac 3.83-4.10
Ac 0.0519 0.2883 0.0000  5 Pr 3.63-3.80, 4 Y 3.70-3.72, 2 Ac 3.83
Ac 0.1922 0.5770 0.0000  4 Ac 3.83-4.20, 6 Pr 3.86-3.90, 2 Y 3.92
Ac 0.3078 0.0770 0.0000  4 Ac 3.83-4.20, 6 Pr 3.86-3.90, 2 Y 3.92
Ac 0.4481 0.7883 0.0000  5 Pr 3.63-3.80, 4 Y 3.70-3.72, 2 Ac 3.83
Ac 0.5000 0.5000 0.0000  6 Pr 3.68-3.77, 4 Ac 3.83-4.10
Ac 0.5519 0.2117 0.0000  5 Pr 3.63-3.80, 4 Y 3.70-3.72, 2 Ac 3.83
Ac 0.6922 0.9230 0.0000  4 Ac 3.83-4.20, 6 Pr 3.86-3.90, 2 Y 3.92
Ac 0.8078 0.4230 0.0000  4 Ac 3.83-4.20, 6 Pr 3.86-3.90, 2 Y 3.92
Ac 0.9481 0.7117 0.0000  5 Pr 3.63-3.80, 4 Y 3.70-3.72, 2 Ac 3.83
Pr 0.0581 0.1431 0.5000  1 Y 3.45, 4 Pr 3.55-3.83, 4 Ac 3.74-3.77
Pr 0.0836 0.4356 0.5000  5 Pr 3.50-3.83, 6 Ac 3.80-3.90
Pr 0.1874 0.8694 0.0000  6 Pr 3.55-3.83, 2 Y 3.61, 2 Ac 3.63-3.68
Pr 0.3126 0.3694 0.0000  6 Pr 3.55-3.83, 2 Y 3.61, 2 Ac 3.63-3.68
Pr 0.4164 0.9356 0.5000  5 Pr 3.50-3.83, 6 Ac 3.80-3.90
Pr 0.4419 0.6431 0.5000  1 Y 3.45, 4 Pr 3.55-3.83, 4 Ac 3.74-3.77
Pr 0.5581 0.3569 0.5000  1 Y 3.45, 4 Pr 3.55-3.83, 4 Ac 3.74-3.77
Pr 0.5836 0.0644 0.5000  5 Pr 3.50-3.83, 6 Ac 3.80-3.90
Pr 0.6874 0.6306 0.0000  6 Pr 3.55-3.83, 2 Y 3.61, 2 Ac 3.63-3.68
Pr 0.8126 0.1306 0.0000  6 Pr 3.55-3.83, 2 Y 3.61, 2 Ac 3.63-3.68
Pr 0.9164 0.5644 0.5000  5 Pr 3.50-3.83, 6 Ac 3.80-3.90
Pr 0.9419 0.8569 0.5000  1 Y 3.45, 4 Pr 3.55-3.83, 4 Ac 3.74-3.77
Y 0.2070 0.7313 0.5000  3 Pr 3.45-3.61, 4 Ac 3.70-3.72, 2 Y 3.83
Y 0.2930 0.2313 0.5000  3 Pr 3.45-3.61, 4 Ac 3.70-3.72, 2 Y 3.83
Y 0.7070 0.7687 0.5000  3 Pr 3.45-3.61, 4 Ac 3.70-3.72, 2 Y 3.83
Y 0.7930 0.2687 0.5000  3 Pr 3.45-3.61, 4 Ac 3.70-3.72, 2 Y 3.83



Below is a geometry-optimized BaCaTlPd structure, with properties calculated at the PBE level.

* energy of formation: -0.35 eV/atom
* DOS(E_F): 0.79 states/eV per atom
* electronic total energy: -3.22 eV per atom

Cell: 5.5571 5.5571 5.5571 Å, 60.00 60.00 60.00°
Last column: nearest neighbours and their distance in Å.
Fractional coordinates of all 4 atoms:
Ba 0.0000 0.0000 0.0000  4 Tl 3.40, 4 Pd 3.40
Ca 0.5000 0.5000 0.5000  4 Pd 3.40, 4 Tl 3.40
Tl 0.2500 0.2500 0.2500  4 Ca 3.40, 4 Ba 3.40
Pd 0.7500 0.7500 0.7500  4 Ca 3.40, 4 Ba 3.40



Below is a geometry-optimized VSnTe2 structure, with properties calculated at the PBE level.

* DOS(E_F): 0.91 states/eV per atom
* electronic total energy: -4.36 eV per atom

Cell: 11.5806 11.5806 11.5806 Å, 16.50 16.50 16.50°
Last column: nearest neighbours and their distance in Å.
Fractional coordinates of all 4 atoms:
V 0.0000 0.0000 0.0000  2 Te 2.68
Sn 0.5000 0.5000 0.5000  6 Sn 3.32, 6 Te 3.58
Te 0.0783 0.0783 0.0783  1 V 2.68
Te 0.9217 0.9217 0.9217  1 V 2.68



Below is a geometry-optimized Ho7ErTm3 structure, with properties calculated at the PBE level.

* energy of formation: 0.28 eV/atom
* DOS(E_F): 1.41 states/eV per atom
* ΔE to the lowest computed polymorph: 130.2 meV/atom
* electronic total energy: -4.27 eV per atom

Cell: 8.3085 8.3085 5.7143 Å, 110.06 110.06 83.30°
Last column: nearest neighbours and their distance in Å.
Fractional coordinates of all 11 atoms:
Ho 0.0000 0.0000 0.0000  2 Er 2.86
Ho 0.0998 0.5057 0.3029  2 Tm 3.12-3.49, 3 Ho 3.25-3.44
Ho 0.2925 0.2925 0.7937  1 Er 3.23, 2 Tm 3.23, 2 Ho 3.44
Ho 0.4943 0.9002 0.6971  2 Tm 3.12-3.49, 3 Ho 3.25-3.44
Ho 0.5057 0.0998 0.3029  2 Tm 3.12-3.49, 3 Ho 3.25-3.44
Ho 0.7075 0.7075 0.2063  1 Er 3.23, 2 Tm 3.23, 2 Ho 3.44
Ho 0.9002 0.4943 0.6971  2 Tm 3.12-3.49, 3 Ho 3.25-3.44
Er 0.0000 0.0000 0.5000  2 Ho 2.86
Tm 0.2932 0.7068 0.0000  9 Ho 3.23-3.59
Tm 0.5000 0.5000 0.5000  4 Ho 3.12
Tm 0.7068 0.2932 0.0000  9 Ho 3.23-3.59